1.
An optimized crystal structure of InSbIr4, computed with PBE-GGA.

```
InSbIr4
1.0
0.000 3.768 3.768
3.768 0.000 3.768
3.768 3.768 0.000
In Ir Sb
1 4 1
Cartesian
0.000 0.000 0.000
4.711 4.711 2.826
2.826 4.711 4.711
4.711 2.826 4.711
2.826 2.826 2.826
5.652 5.652 5.652
```

---

2.
An optimized crystal structure of InSb2Ir, computed with PBE-GGA.

```
InSb2Ir
1.0
5.282 0.001 0.000
1.299 5.120 0.000
-3.290 -2.560 3.243
Sb In Ir
2 1 1
Cartesian
0.000 0.000 0.000
0.649 2.560 1.622
3.290 2.560 0.000
2.641 0.000 1.622
```

---

3.
An optimized crystal structure of InSb2Ir, computed with PBE-GGA.

```
InSb2Ir
1.0
4.303 0.000 0.000
0.000 4.280 0.000
0.000 0.000 4.845
Ir Sb In
1 2 1
Cartesian
0.000 2.140 2.423
2.151 2.140 0.000
0.000 0.000 0.000
2.151 0.000 2.423
```

---

4.
PBE-GGA InSbIr2, optimized geometry; distance to the lowest polymorph of the same formula = 65 meV per atom
1.0
4.813 -0.022 0.000
-0.850 4.737 0.000
0.000 0.000 3.121
Sb In Ir
1 1 2
Cartesian
2.406 -0.011 1.560
-0.425 2.369 1.560
0.000 0.000 0.000
1.981 2.358 0.000

---

5.
PBE-GGA InSbIr2, optimized geometry; distance to the lowest polymorph of the same formula = 22 meV per atom
1.0
-2.489 1.051 1.701
-0.129 -3.620 2.047
3.463 2.033 3.813
Ir In Sb
2 1 1
Cartesian
3.312 1.943 3.646
-0.282 -0.682 3.005
1.465 0.343 4.928
1.545 0.907 1.701

---

6.
An optimized crystal structure of In4SbIr2, computed with PBE-GGA.

```
In4SbIr2
1.0
5.492 0.000 0.000
0.000 5.492 0.000
2.746 2.746 6.744
Ir In Sb
2 4 1
Cartesian
5.492 5.492 5.526
2.746 2.746 1.217
2.746 2.746 3.798
5.492 5.492 2.946
2.746 0.000 0.000
0.000 2.746 0.000
0.000 0.000 0.000
```

---

Number 1: magnetization 0.00 μB per cell, ρ 15.60 g cm⁻³, ΔE_f (raw) 324 meV per atom. Number 2: magnetization 0.00 μB per cell, ρ 10.42 g cm⁻³, ΔE_f (raw) 378 meV per atom. Number 3: magnetization 0.00 μB per cell, ρ 10.25 g cm⁻³, ΔE_f (raw) 407 meV per atom. Number 4: magnetization 0.00 μB per cell, ρ 14.51 g cm⁻³, ΔE_f (raw) 131 meV per atom. Number 5: magnetization 0.00 μB per cell, ρ 14.02 g cm⁻³, ΔE_f (raw) 88 meV per atom. Number 6: magnetization 0.00 μB per cell, ρ 7.88 g cm⁻³, ΔE_f (raw) 623 meV per atom.